Entry 1:
Material: Cs2Mg2Pt
Method: DFT, PBE-GGA
State: relaxed

Geometry as POSCAR:
```
Cs2Mg2Pt
1.0
7.341 0.000 0.000
0.000 7.341 0.000
0.000 0.000 6.652
Cs Mg Pt
4 4 2
Direct
0.182 0.318 0.000
0.318 0.818 0.000
0.682 0.182 0.000
0.818 0.682 0.000
0.181 0.681 0.500
0.319 0.181 0.500
0.681 0.819 0.500
0.819 0.319 0.500
0.000 0.000 0.500
0.500 0.500 0.500
```

## Properties
E above lowest polymorph: 0 meV per atom
Energy relative to the elements: 0.04 eV per atom

---

Entry 2:
Material: Cs3MgPt
Method: DFT, PBE-GGA
State: relaxed

Geometry as POSCAR:
```
Cs3MgPt
1.0
6.751 0.000 0.000
0.000 6.751 0.000
0.000 0.000 6.751
Cs Mg Pt
3 1 1
Direct
0.000 0.000 0.500
0.000 0.500 0.000
0.500 0.000 0.000
0.500 0.500 0.500
0.000 0.000 0.000
```

## Properties
E above lowest polymorph: 0 meV per atom
Energy relative to the elements: 0.20 eV per atom

---

Entry 3:
Material: Cs2MgPt2
Method: DFT, PBE-GGA
State: relaxed

Geometry as POSCAR:
```
Cs2MgPt2
1.0
7.074 0.000 0.000
0.000 7.074 0.000
0.000 0.000 5.884
Cs Mg Pt
4 2 4
Direct
0.179 0.321 0.000
0.321 0.821 0.000
0.679 0.179 0.000
0.821 0.679 0.000
0.000 0.000 0.500
0.500 0.500 0.500
0.130 0.630 0.500
0.370 0.130 0.500
0.630 0.870 0.500
0.870 0.370 0.500
```

## Properties
E above lowest polymorph: 0 meV per atom
Energy relative to the elements: -0.01 eV per atom

---

Entry 4:
Material: CsMgPt3
Method: DFT, PBE-GGA
State: relaxed

Geometry as POSCAR:
```
CsMgPt3
1.0
5.252 0.000 0.000
0.000 5.252 0.000
0.000 0.000 5.252
Cs Mg Pt
1 1 3
Direct
0.000 0.000 0.000
0.500 0.500 0.500
0.000 0.000 0.500
0.000 0.500 0.000
0.500 0.000 0.000
```

## Properties
E above lowest polymorph: 1216 meV per atom
Energy relative to the elements: 1.78 eV per atom

---

Entry 5:
Material: Cs2MgPt2
Method: DFT, PBE-GGA
State: relaxed

Geometry as POSCAR:
```
Cs2MgPt2
1.0
10.090 0.000 0.000
0.000 10.090 0.000
0.000 0.000 3.201
Cs Mg Pt
4 2 4
Direct
0.125 0.375 0.000
0.375 0.875 0.000
0.625 0.125 0.000
0.875 0.625 0.000
0.000 0.000 0.000
0.500 0.500 0.000
0.177 0.677 0.500
0.323 0.177 0.500
0.677 0.823 0.500
0.823 0.323 0.500
```

## Properties
E above lowest polymorph: 603 meV per atom
Energy relative to the elements: 0.59 eV per atom

---

Entry 6:
Material: CsRb2MgPt
Method: DFT, PBE-GGA
State: relaxed

Geometry as POSCAR:
```
CsRb2MgPt
1.0
7.368 0.000 0.000
0.000 7.368 0.000
0.000 0.000 5.646
Cs Rb Mg Pt
1 2 1 1
Direct
0.000 0.000 0.000
0.000 0.500 0.000
0.500 0.000 0.000
0.500 0.500 0.500
0.000 0.000 0.500
```

## Properties
Energy relative to the elements: 0.63 eV per atom

---

Entry 7:
Material: Cs2MgSnPt
Method: DFT, PBE-GGA
State: relaxed

Geometry as POSCAR:
```
Cs2MgSnPt
1.0
6.813 0.000 0.000
0.000 6.813 0.000
0.000 0.000 4.983
Cs Mg Sn Pt
2 1 1 1
Direct
0.000 0.500 0.000
0.500 0.000 0.000
0.000 0.000 0.500
0.500 0.500 0.500
0.000 0.000 0.000
```

## Properties
Energy relative to the elements: 0.18 eV per atom

---

Entry 8:
Material: CsMg2SnPt
Method: DFT, PBE-GGA
State: relaxed

Geometry as POSCAR:
```
CsMg2SnPt
1.0
5.297 0.000 0.000
0.000 5.297 0.000
0.000 0.000 5.254
Cs Mg Sn Pt
1 2 1 1
Direct
0.000 0.000 0.000
0.000 0.500 0.500
0.500 0.000 0.500
0.500 0.500 0.000
0.500 0.500 0.500
```

## Properties
Energy relative to the elements: -0.26 eV per atom